Here is a geometry-optimized Y5Tm2Sc4 structure from Alexandria via LeMat-Bulk. Energies are from PBE.

It has space group C2/m (No. 12), with a = 11.728 Å, b = 6.649 Å, c = 9.949 Å, α = 90.00°, β = 122.78° and γ = 90.00°. The distinct sites, in fractional coordinates, are Y at (0.000, 0.000, 0.000), Y at (0.157, 0.269, 0.667), Tm at (0.087, 0.500, 0.286), Sc at (0.095, 0.000, 0.367) and Sc at (0.220, 0.500, 0.018).

The total moment is 0.00 Bohr magnetons per cell. The offset from the most stable computed form comes out at 0.111 eV per atom. The calculation puts the volume at 29.649 Å³ per atom. For the formation energy from the elements, the calculation gives 0.20 eV/atom.



Here is a geometry-optimized Ac2NdYTe6 structure from Alexandria via LeMat-Bulk. Energies are from PBE.

It has space group R3 (No. 146, hexagonal axes), with a = 8.1599 Å, b = 8.1599 Å, c = 21.4281 Å, α = 90.00°, β = 90.00° and γ = 120.00°. The distinct sites, in fractional coordinates, are Ac at (0.0000, 0.0000, 0.0000), Ac at (0.0000, 0.0000, 0.4989), Nd at (0.0000, 0.0000, 0.2003), Y at (0.0000, 0.0000, 0.6989), Te at (0.0485, 0.3443, 0.7732) and Te at (0.0523, 0.6974, 0.2748).

The total moment is 0.00 Bohr magnetons per cell. The calculation puts the volume at 41.186 Å³ per atom. As for the formation energy without anion corrections: -1.45 eV per atom.